No. 1
## V2MoPt (PBE)

Data for a relaxed structure of V2MoPt.

a = 3.3082 Å, b = 4.1913 Å, c = 4.1913 Å
α = 90.00°, β = 90.00°, γ = 90.00°
Fractional coordinates of all 4 atoms:
Pt1 0.5000 0.0000 0.0000
Mo1 0.5000 0.5000 0.5000
V1 0.0000 0.5000 0.0000
V2 0.0000 0.0000 0.5000

Calculated values
- DOS(E_F): 1.34 states/eV per atom
- Energy relative to the elements: -0.29 eV per atom
- Crystal system: tetragonal
- VASP energy: -9.06 eV per atom
- Magnetic moment: 0.07 μB per cell

No. 2
## V4MoPt (PBE)

Data for a relaxed structure of V4MoPt.

a = 4.9210 Å, b = 4.9210 Å, c = 4.9210 Å
α = 60.00°, β = 60.00°, γ = 60.00°
Fractional coordinates of all 6 atoms:
V1 0.1199 0.6267 0.6267
V2 0.6267 0.6267 0.1199
V3 0.6267 0.6267 0.6267
V4 0.6267 0.1199 0.6267
Pt1 0.2500 0.2500 0.2500
Mo1 0.0000 0.0000 0.0000

Calculated values
- DOS(E_F): 1.52 states/eV per atom
- Energy relative to the elements: -0.10 eV per atom
- Crystal system: cubic
- VASP energy: -9.00 eV per atom
- Magnetic moment: 0.00 μB per cell

No. 3
## VMoPt4 (PBE)

Data for a relaxed structure of VMoPt4.

a = 5.4637 Å, b = 5.4546 Å, c = 7.1113 Å
α = 90.00°, β = 90.00°, γ = 85.71°
Fractional coordinates of all 12 atoms:
Pt1 0.7542 0.4991 0.4926
Pt2 0.7542 0.9991 0.5074
Pt3 0.2458 0.5009 0.5074
Pt4 0.2458 0.0009 0.0074
Pt5 0.2458 0.0009 0.4926
Pt6 0.7542 0.9991 0.9926
Pt7 0.7542 0.4991 0.0074
Pt8 0.2458 0.5009 0.9926
V1 0.0000 0.2500 0.7500
V2 0.0000 0.7500 0.2500
Mo1 0.5000 0.2500 0.2500
Mo2 0.5000 0.7500 0.7500

Calculated values
- DOS(E_F): 0.67 states/eV per atom
- Energy relative to the lowest polymorph listed for this composition: 2.13 eV per formula unit
- Energy relative to the elements: -0.08 eV per atom
- Crystal system: monoclinic
- VASP energy: -7.44 eV per atom
- Magnetic moment: 0.00 μB per cell